[1]
Zn6CdAg: optimized geometry, PBE.

Cell: 4.6936 5.7174 4.8169 Å, 90.00 90.00 90.00°
Space group Pmm2 (No. 25)
Inequivalent atoms, fractional coordinates:
Zn (0.0000, 0.0000, 0.0000) (multiplicity 1)
Zn (0.0000, 0.2388, 0.5085) (multiplicity 2)
Zn (0.5000, 0.2424, 0.8313) (multiplicity 2)
Zn (0.5000, 0.5000, 0.3630) (multiplicity 1)
Cd (0.0000, 0.5000, 0.0093) (multiplicity 1)
Ag (0.5000, 0.0000, 0.3268) (multiplicity 1)

Output
As for the crystal system: orthorhombic. As for the formation energy: 0.01 eV per atom. For the density of states at the Fermi level, the calculation gives 1.6 states/eV/cell.

***

[2]
LiBeGaCl4: optimized geometry, PBE.

Cell: 5.9881 7.1976 9.2382 Å, 90.00 97.00 90.00°
Space group P2_1/m (No. 11)
Inequivalent atoms, fractional coordinates:
Li (0.1319, 0.2500, 0.2704) (multiplicity 2)
Be (0.3707, 0.7500, 0.7330) (multiplicity 2)
Ga (0.4956, 0.2500, 0.7839) (multiplicity 2)
Cl (0.1639, 0.5234, 0.7361) (multiplicity 4)
Cl (0.3871, 0.2500, 0.0901) (multiplicity 2)
Cl (0.4555, 0.2500, 0.4403) (multiplicity 2)

Output
As for the crystal system: monoclinic. For the density of states at the Fermi level, the calculation gives 0.0 states/eV/cell. The value obtained for the formation energy (no corrections) is -9.2 eV/f.u.

***

[3]
CeDyZnN3: optimized geometry, PBE.

Cell: 7.1622 3.4082 7.3863 Å, 90.00 98.52 90.00°
Space group P2_1/m (No. 11)
Inequivalent atoms, fractional coordinates:
Ce (0.1974, 0.2500, 0.1822) (multiplicity 2)
Dy (0.1738, 0.2500, 0.6423) (multiplicity 2)
Zn (0.4032, 0.7500, 0.8983) (multiplicity 2)
N (0.1230, 0.7500, 0.8649) (multiplicity 2)
N (0.1508, 0.7500, 0.4028) (multiplicity 2)
N (0.4707, 0.7500, 0.1868) (multiplicity 2)

Output
As for the crystal system: monoclinic. The value obtained for the formation energy (no corrections) is -5.7 eV/f.u.

***

[4]
Nb6AuN: optimized geometry, PBE.

Cell: 4.9179 5.3804 5.4313 Å, 98.16 107.35 94.01°
Space group P-1 (No. 2)
Inequivalent atoms, fractional coordinates:
Nb (0.0659, 0.2953, 0.1450) (multiplicity 2)
Nb (0.2127, 0.8509, 0.4380) (multiplicity 2)
Nb (0.3921, 0.4092, 0.7308) (multiplicity 2)
Au (0.5000, 0.0000, 0.0000) (multiplicity 1)
N (0.0000, 0.5000, 0.5000) (multiplicity 1)

Output
As for the crystal system: triclinic. For the density of states at the Fermi level, the calculation gives 7.6 states/eV/cell. The value obtained for the formation energy (no corrections) is -2.0 eV/f.u.

***

[5]
KFe2As: optimized geometry, PBE.

Cell: 6.0499 9.8508 2.7185 Å, 90.00 116.26 90.00°
Space group C2/m (No. 12)
Inequivalent atoms, fractional coordinates:
K (0.0000, 0.0000, 0.0000) (multiplicity 2)
Fe (0.2500, 0.2500, 0.0000) (multiplicity 4)
As (0.0000, 0.5000, 0.0000) (multiplicity 2)

Output
As for the crystal system: monoclinic. As for the formation energy: 0.88 eV per atom. For the density of states at the Fermi level, the calculation gives 10.1 states/eV/cell.

***

[6]
ZnCuW: optimized geometry, PBE.

Cell: 5.7273 5.7273 5.7273 Å, 90.00 90.00 90.00°
Space group F-43m (No. 216)
Inequivalent atoms, fractional coordinates:
Zn (0.0000, 0.0000, 0.0000) (multiplicity 4)
Cu (0.2500, 0.2500, 0.7500) (multiplicity 4)
W (0.0000, 0.0000, 0.5000) (multiplicity 4)

Output
As for the crystal system: cubic. As for the formation energy: 0.82 eV per atom. For the density of states at the Fermi level, the calculation gives 13.4 states/eV/cell.

***

[7]
La4GaTe2I: optimized geometry, PBE.

Cell: 7.9076 4.5390 7.9344 Å, 90.00 109.04 90.00°
Space group P2/m (No. 10)
Inequivalent atoms, fractional coordinates:
La (0.2362, 0.0000, 0.2298) (multiplicity 2)
La (0.2472, 0.5000, 0.7687) (multiplicity 2)
Ga (0.0000, 0.5000, 0.0000) (multiplicity 1)
Te (0.5000, 0.0000, 0.0000) (multiplicity 1)
Te (0.5000, 0.5000, 0.5000) (multiplicity 1)
I (0.0000, 0.0000, 0.5000) (multiplicity 1)

Output
As for the crystal system: monoclinic. For the density of states at the Fermi level, the calculation gives 5.4 states/eV/cell. The value obtained for the formation energy (no corrections) is -9.7 eV/f.u.

***

[8]
Tc2SbTe: optimized geometry, PBE.

Cell: 3.2826 3.2826 6.5578 Å, 90.00 90.00 90.00°
Space group P4/mmm (No. 123)
Inequivalent atoms, fractional coordinates:
Tc (0.0000, 0.0000, 0.2467) (multiplicity 2)
Sb (0.5000, 0.5000, 0.0000) (multiplicity 1)
Te (0.5000, 0.5000, 0.5000) (multiplicity 1)

Output
As for the crystal system: tetragonal. For the density of states at the Fermi level, the calculation gives 2.4 states/eV/cell. The value obtained for the formation energy (no corrections) is 0.9 eV/f.u.

***

no.,E (eV per atom)
1,-1.41
2,-3.61
3,-7.07
4,-9.26
5,-4.79
6,-5.29
7,-5.03
8,-6.77